Record 1
# Pm2ErN (GGA-PBE, relaxed)
# SG	No. 166
# energy relative to the elements, uncorrected	-561.7	meV/atom
# VASP energy	-0.4527	Ry per atom
data_Pm2ErN
_symmetry_space_group_name_H-M 'P 1'
_symmetry_Int_Tables_number 1
_symmetry_space_group_name_Hall 'P 1'
_cell_length_a 9.792
_cell_length_b 9.792
_cell_length_c 9.792
_cell_angle_alpha 20.88
_cell_angle_beta 20.88
_cell_angle_gamma 20.88
loop_
_atom_site_label
_atom_site_fract_x
_atom_site_fract_y
_atom_site_fract_z
_atom_site_occupancy
Pm1 0.119 0.119 0.119 1
Pm2 0.881 0.881 0.881 1
Er1 0.000 0.000 0.000 1
N1 0.500 0.500 0.500 1



Record 2
# LiZn5Co2 (GGA-PBE, relaxed)
# energy of formation from the pure elements	-0.06	eV per atom
# SG	No. 139
# VASP energy	-0.2111	Ry per atom
data_LiZn5Co2
_symmetry_space_group_name_H-M 'P 1'
_symmetry_Int_Tables_number 1
_symmetry_space_group_name_Hall 'P 1'
_cell_length_a 5.103
_cell_length_b 5.103
_cell_length_c 5.103
_cell_angle_alpha 109.99
_cell_angle_beta 109.99
_cell_angle_gamma 108.43
loop_
_atom_site_label
_atom_site_fract_x
_atom_site_fract_y
_atom_site_fract_z
_atom_site_occupancy
Li1 0.000 0.000 0.000 1
Zn1 0.000 0.000 0.500 1
Zn2 0.000 0.500 0.000 1
Zn3 0.500 0.000 0.000 1
Zn4 0.500 0.500 0.000 1
Zn5 0.500 0.500 0.500 1
Co1 0.000 0.500 0.500 1
Co2 0.500 0.000 0.500 1



Record 3
# Ce2As3Ir4Pd (GGA-PBE, relaxed)
# energy of formation from the pure elements	-0.69	eV per atom
# SG	No. 115
# VASP energy	-0.5392	Ry per atom
data_Ce2As3Ir4Pd
_symmetry_space_group_name_H-M 'P 1'
_symmetry_Int_Tables_number 1
_symmetry_space_group_name_Hall 'P 1'
_cell_length_a 4.052
_cell_length_b 4.052
_cell_length_c 11.248
_cell_angle_alpha 90.00
_cell_angle_beta 90.00
_cell_angle_gamma 90.00
loop_
_atom_site_label
_atom_site_fract_x
_atom_site_fract_y
_atom_site_fract_z
_atom_site_occupancy
Ce1 0.000 0.500 0.240 1
Ce2 0.500 0.000 0.760 1
As1 0.000 0.000 0.000 1
As2 0.000 0.500 0.627 1
As3 0.500 0.000 0.373 1
Ir1 0.000 0.000 0.500 1
Ir2 0.000 0.500 0.837 1
Ir3 0.500 0.000 0.163 1
Ir4 0.500 0.500 0.500 1
Pd1 0.500 0.500 0.000 1



Record 4
# TcSnSe2Br (GGA-PBE, relaxed)
# excess energy over the best structure of this formula in the dataset	0.000	eV per atom
# SG	No. 123
# energy relative to the elements, uncorrected	149.9	meV/atom
# VASP energy	-0.3272	Ry per atom
data_TcSnSe2Br
_symmetry_space_group_name_H-M 'P 1'
_symmetry_Int_Tables_number 1
_symmetry_space_group_name_Hall 'P 1'
_cell_length_a 4.879
_cell_length_b 4.879
_cell_length_c 5.265
_cell_angle_alpha 90.00
_cell_angle_beta 90.00
_cell_angle_gamma 90.00
loop_
_atom_site_label
_atom_site_fract_x
_atom_site_fract_y
_atom_site_fract_z
_atom_site_occupancy
Tc1 0.000 0.000 0.000 1
Sn1 0.500 0.500 0.500 1
Se1 0.000 0.500 0.000 1
Se2 0.500 0.000 0.000 1
Br1 0.000 0.000 0.500 1